# PBE SrPrY2, relaxed
# **Total moment**: 0.0 μB/cell
# **Excess energy over the best structure of this formula in the dataset**: 70 meV per atom
# **V**: 147 Å³ per cell
data_SrPrY2
_space_group_name_H-M_alt 'P 4/m m m'
_space_group_IT_number 123
_space_group_name_Hall '-P 4 2'
_cell_length_a 5.293
_cell_length_b 5.293
_cell_length_c 5.241
_cell_angle_alpha 90.00
_cell_angle_beta 90.00
_cell_angle_gamma 90.00
loop_
_atom_site_label
_atom_site_fract_x
_atom_site_fract_y
_atom_site_fract_z
Sr1 0.000 0.000 0.000
Pr1 0.500 0.500 0.000
Y1 0.000 0.500 0.500